Entry 1:
AcPa2BeN4 PBE optimized geometry; SG = Cmcm, No. 63; crystal system = orthorhombic; energy = -142.1 eV/cell; N(E_F) = 0.55 states/eV per atom
1.0
1.7912 -5.9205 0.0000
1.7912 5.9205 0.0000
0.0000 0.0000 11.1477
Ac Pa Be N
2 4 2 8
Direct
0.0934 0.9066 0.7500
0.9066 0.0934 0.2500
0.3697 0.6303 0.5519
0.3697 0.6303 0.9481
0.6303 0.3697 0.0519
0.6303 0.3697 0.4481
0.1815 0.8185 0.2500
0.8185 0.1815 0.7500
0.0000 0.0000 0.0000
0.0000 0.0000 0.5000
0.2529 0.7471 0.1202
0.2529 0.7471 0.3798
0.4118 0.5882 0.7500
0.5882 0.4118 0.2500
0.7471 0.2529 0.6202
0.7471 0.2529 0.8798

=====

Entry 2:
AcPrBeN2 PBE optimized geometry; SG = Pccm, No. 49; crystal system = orthorhombic; energy = -66.1 eV/cell; N(E_F) = 0.49 states/eV per atom
1.0
5.1466 0.0000 0.0000
0.0000 5.5036 0.0000
0.0000 0.0000 7.1126
Ac Pr Be N
2 2 2 4
Direct
0.0000 0.0000 0.2500
0.0000 0.0000 0.7500
0.5000 0.5000 0.2500
0.5000 0.5000 0.7500
0.0000 0.5000 0.0000
0.0000 0.5000 0.5000
0.2103 0.2978 0.0000
0.2103 0.7022 0.5000
0.7897 0.2978 0.5000
0.7897 0.7022 0.0000

=====

Entry 3:
AcBePtN PBE optimized geometry; SG = P4/nmm, No. 129; crystal system = tetragonal; energy = -53.3 eV/cell; N(E_F) = 0.26 states/eV per atom
1.0
4.0084 0.0000 0.0000
0.0000 4.0084 0.0000
0.0000 0.0000 8.1750
Ac Be Pt N
2 2 2 2
Direct
0.2500 0.2500 0.1685
0.7500 0.7500 0.8315
0.2500 0.2500 0.6532
0.7500 0.7500 0.3468
0.2500 0.7500 0.5000
0.7500 0.2500 0.5000
0.2500 0.2500 0.8526
0.7500 0.7500 0.1474

=====

Entry 4:
AcPuBeN3 PBE optimized geometry; SG = P2_1/m, No. 11; crystal system = monoclinic; energy = -107.6 eV/cell; N(E_F) = 1.23 states/eV per atom
1.0
7.1891 0.0000 0.0000
0.0000 3.4651 0.0000
-1.7524 0.0000 7.1765
Ac Pu Be N
2 2 2 6
Direct
0.2285 0.2500 0.1863
0.7715 0.7500 0.8137
0.1739 0.2500 0.6636
0.8261 0.7500 0.3364
0.3968 0.7500 0.9279
0.6032 0.2500 0.0721
0.1465 0.7500 0.4400
0.1527 0.7500 0.8759
0.4796 0.2500 0.8458
0.5204 0.7500 0.1542
0.8473 0.2500 0.1241
0.8535 0.2500 0.5600

=====

Entry 5:
Ac3PuBe2N6 PBE optimized geometry; SG = P-3m1, No. 164; crystal system = trigonal; energy = -95.8 eV/cell; N(E_F) = 0.72 states/eV per atom
1.0
5.8071 0.0000 0.0000
-2.9036 5.0291 0.0000
0.0000 0.0000 6.7505
Ac Pu Be N
3 1 2 6
Direct
0.0000 0.0000 0.0000
0.3333 0.6667 0.6627
0.6667 0.3333 0.3373
0.0000 0.0000 0.5000
0.3333 0.6667 0.2491
0.6667 0.3333 0.7509
0.1733 0.3466 0.3010
0.1733 0.8267 0.3010
0.3466 0.1733 0.6990
0.6534 0.8267 0.3010
0.8267 0.1733 0.6990
0.8267 0.6534 0.6990

=====

Entry 6:
AcBeRhN PBE optimized geometry; SG = P4/nmm, No. 129; crystal system = tetragonal; energy = -54.2 eV/cell; N(E_F) = 0.40 states/eV per atom
1.0
3.9473 0.0000 0.0000
0.0000 3.9473 0.0000
0.0000 0.0000 8.2457
Ac Be Rh N
2 2 2 2
Direct
0.2500 0.2500 0.1712
0.7500 0.7500 0.8288
0.2500 0.2500 0.6601
0.7500 0.7500 0.3399
0.2500 0.7500 0.5000
0.7500 0.2500 0.5000
0.2500 0.2500 0.8567
0.7500 0.7500 0.1433

=====

Entry 7:
AcBeRuN PBE optimized geometry; SG = P4/nmm, No. 129; crystal system = tetragonal; energy = -56.1 eV/cell; N(E_F) = 0.77 states/eV per atom
1.0
3.8449 0.0000 0.0000
0.0000 3.8449 0.0000
0.0000 0.0000 8.6837
Ac Be Ru N
2 2 2 2
Direct
0.2500 0.2500 0.1651
0.7500 0.7500 0.8349
0.2500 0.2500 0.6730
0.7500 0.7500 0.3270
0.2500 0.7500 0.5000
0.7500 0.2500 0.5000
0.2500 0.2500 0.8592
0.7500 0.7500 0.1408

=====

Entry 8:
Ac3Be2RuN6 PBE optimized geometry; SG = P-3m1, No. 164; crystal system = trigonal; energy = -87.1 eV/cell; N(E_F) = 0.44 states/eV per atom
1.0
5.6511 0.0000 0.0000
-2.8255 4.8940 0.0000
0.0000 0.0000 6.4423
Ac Be Ru N
3 2 1 6
Direct
0.0000 0.0000 0.0000
0.3333 0.6667 0.6636
0.6667 0.3333 0.3364
0.3333 0.6667 0.2538
0.6667 0.3333 0.7462
0.0000 0.0000 0.5000
0.1711 0.3422 0.3074
0.1711 0.8289 0.3074
0.3422 0.1711 0.6926
0.6578 0.8289 0.3074
0.8289 0.1711 0.6926
0.8289 0.6578 0.6926

=====

Entry 9:
Ac2Be2Si2N PBE optimized geometry; SG = C2/m, No. 12; crystal system = monoclinic; energy = -39.1 eV/cell; N(E_F) = 0.39 states/eV per atom
1.0
5.8607 -1.9848 0.0000
5.8607 1.9848 0.0000
-4.3406 0.0000 5.7686
Ac Be Si N
2 2 2 1
Direct
0.0435 0.0435 0.2880
0.9565 0.9565 0.7120
0.3362 0.3362 0.9123
0.6638 0.6638 0.0877
0.2955 0.2955 0.2143
0.7045 0.7045 0.7857
0.5000 0.5000 0.0000

=====

Entry 10:
AcBe2SiN4 PBE optimized geometry; SG = I222, No. 23; crystal system = orthorhombic; energy = -56.1 eV/cell; N(E_F) = 0.37 states/eV per atom
1.0
-2.3979 2.5388 3.7095
2.3979 -2.5388 3.7095
2.3979 2.5388 -3.7095
Ac Be Si N
1 2 1 4
Direct
0.0000 0.0000 0.0000
0.2635 0.7635 0.5000
0.7365 0.2365 0.5000
0.5000 0.5000 0.0000
0.1683 0.1420 0.6161
0.4741 0.8580 0.0262
0.5259 0.5521 0.3839
0.8317 0.4479 0.9738

=====

Entry 11:
Ac2BeSiN PBE optimized geometry; SG = P2_1/m, No. 11; crystal system = monoclinic; energy = -59.1 eV/cell; N(E_F) = 0.56 states/eV per atom
1.0
6.7134 0.0000 0.0000
0.0000 4.0464 0.0000
-2.7823 0.0000 8.2583
Ac Be Si N
4 2 2 2
Direct
0.2095 0.2500 0.3959
0.2171 0.2500 0.9584
0.7829 0.7500 0.0416
0.7905 0.7500 0.6041
0.4414 0.7500 0.2407
0.5586 0.2500 0.7593
0.3596 0.7500 0.7101
0.6404 0.2500 0.2899
0.1853 0.7500 0.1727
0.8147 0.2500 0.8273

=====

Entry 12:
AcBeSnN3 PBE optimized geometry; SG = P2_1/m, No. 11; crystal system = monoclinic; energy = -80.3 eV/cell; N(E_F) = 0.00 states/eV per atom
1.0
7.1503 0.0000 0.0000
0.0000 3.3665 0.0000
-2.0053 0.0000 6.8651
Ac Be Sn N
2 2 2 6
Direct
0.2366 0.2500 0.2014
0.7634 0.7500 0.7986
0.4002 0.7500 0.9262
0.5998 0.2500 0.0738
0.1605 0.2500 0.6681
0.8395 0.7500 0.3319
0.1510 0.7500 0.8846
0.1660 0.7500 0.4575
0.4699 0.2500 0.8328
0.5301 0.7500 0.1672
0.8340 0.2500 0.5425
0.8490 0.2500 0.1154

=====

Number 6 is which compound?
AcBeRhN

=====

What is the formula in the sixth record?
AcBeRhN